No. 1
5
Lattice="5.7217 0.0000 0.0000 0.0000 5.7217 0.0000 0.0000 0.0000 3.9647" Properties=species:S:1:pos:R:3 comment="MgSbI2N meta-GGA SCAN single point on PBEsol structure" total_energy_ev_per_atom=-24.64 relative_energy_mev_per_atom=0 m_tot_mub_per_fu=1.88 n_ef_per_ev_atom=0.467 pbc="T T T"
Mg 0.0000 0.0000 0.0000
Sb 2.8609 2.8609 1.9823
I 0.0000 2.8609 0.0000
I 2.8609 0.0000 0.0000
N 0.0000 0.0000 1.9823

No. 2
5
Lattice="4.3187 0.0000 0.0000 0.0000 4.3187 0.0000 0.0000 0.0000 5.4708" Properties=species:S:1:pos:R:3 comment="MgSbIN2 meta-GGA SCAN single point on PBEsol structure" total_energy_ev_per_atom=-18.34 m_tot_mub_per_fu=2.83 n_ef_per_ev_atom=0.249 pbc="T T T"
Mg 0.0000 0.0000 0.0000
Sb 2.1593 2.1593 2.7354
I 0.0000 0.0000 2.7354
N 0.0000 2.1593 0.0000
N 2.1593 0.0000 0.0000

No. 3
5
Lattice="4.9543 0.0000 0.0000 0.0000 4.9543 0.0000 0.0000 0.0000 4.7632" Properties=species:S:1:pos:R:3 comment="MgSbI2N meta-GGA SCAN single point on PBEsol structure" total_energy_ev_per_atom=-24.26 relative_energy_mev_per_atom=378 m_tot_mub_per_fu=0.00 n_ef_per_ev_atom=0.533 pbc="T T T"
Mg 0.0000 0.0000 0.0000
Sb 2.4771 2.4771 0.0000
I 0.0000 2.4771 2.3816
I 2.4771 0.0000 2.3816
N 2.4771 2.4771 2.3816

No. 4
5
Lattice="4.4009 0.0000 0.0000 0.0000 4.4009 0.0000 0.0000 0.0000 5.3786" Properties=species:S:1:pos:R:3 comment="SrMgIN2 meta-GGA SCAN single point on PBEsol structure" total_energy_ev_per_atom=-16.25 m_tot_mub_per_fu=3.00 n_ef_per_ev_atom=0.397 pbc="T T T"
Sr 0.0000 0.0000 0.0000
Mg 2.2004 2.2004 2.6893
I 2.2004 2.2004 0.0000
N 0.0000 2.2004 2.6893
N 2.2004 0.0000 2.6893